A:
Entry from Alexandria: a relaxed structure of Ca2CrBr (PBE-GGA).

## Properties
DOS(E_F)   1.820 states/eV per cell
Space group   I4/mmm (139)
Spin magnetization   5.2 μB per cell
Crystal system   tetragonal

Lattice parameters (Å, degrees): 5.8245 5.8245 5.8245 128.31 128.31 76.12
Site moments in Bohr magnetons follow the coordinates.
Fractional coordinates of all 4 atoms:
Ca 0.0000 0.0000 0.0000  0.04
Ca 0.5000 0.5000 0.0000  0.04
Br 0.7500 0.2500 0.5000  0.03
Cr 0.2500 0.7500 0.5000  4.09



B:
Entry from Alexandria: a relaxed structure of Ca2CrBr (PBE-GGA).

## Properties
DOS(E_F)   2.501 states/eV per cell
Space group   I-42d (122)
Spin magnetization   10.1 μB per cell
Crystal system   tetragonal

Lattice parameters (Å, degrees): 8.1930 8.1930 7.0101 54.24 54.24 90.00
Site moments in Bohr magnetons follow the coordinates.
Fractional coordinates of all 8 atoms:
Ca 0.1068 0.6250 0.2500  0.04
Br 0.0000 0.0000 0.0000  0.02
Br 0.7500 0.2500 0.5000  0.02
Cr 0.2500 0.7500 0.5000  4.09
Ca 0.3750 0.3568 0.7500  0.03
Ca 0.6432 0.1250 0.2500  0.04
Ca 0.8750 0.8932 0.7500  0.04
Cr 0.5000 0.5000 0.0000  4.09



C:
Entry from Alexandria: a relaxed structure of Ca2CrBr (PBE-GGA).

## Properties
DOS(E_F)   2.048 states/eV per cell
Space group   P4mm (99)
Spin magnetization   4.9 μB per cell
Crystal system   tetragonal

Lattice parameters (Å, degrees): 3.6635 3.6635 9.7995 90.00 90.00 90.00
Site moments in Bohr magnetons follow the coordinates.
Fractional coordinates of all 4 atoms:
Cr 0.0000 0.0000 0.4799  4.10
Ca 0.5000 0.5000 0.2701  0.02
Ca 0.0000 0.0000 0.9553  0.01
Br 0.5000 0.5000 0.7947  0.01



Stability check: which of them is least stable? A.